No. 1
Below is crystalline CaScAs2Rh5 at its relaxed geometry, with properties calculated at the GGA-PBE level.

Geometry as POSCAR:
```
CaScAs2Rh5
1.0
4.0014 0.0000 0.0000
0.0000 4.0014 0.0000
0.0000 0.0000 11.1247
Ca Sc As Rh
1 1 2 5
Cartesian
0.0000 0.0000 0.0000
0.0000 0.0000 5.5623
2.0007 2.0007 2.3643
2.0007 2.0007 8.7604
0.0000 2.0007 3.7079
0.0000 2.0007 7.4168
2.0007 0.0000 3.7079
2.0007 0.0000 7.4168
2.0007 2.0007 0.0000
```

Calculated values
total magnetic moment	0.00	μB per formula unit
formation energy	-10.73	kcal/mol of atoms

No. 2
Below is crystalline CaAsRhSe2 at its relaxed geometry, with properties calculated at the GGA-PBE level.

Geometry as POSCAR:
```
CaAsRhSe2
1.0
5.2898 0.0000 0.0000
0.0000 5.2898 0.0000
0.0000 0.0000 5.3138
Ca As Rh Se
1 1 1 2
Cartesian
0.0000 0.0000 0.0000
0.0000 0.0000 2.6569
2.6449 2.6449 2.6569
0.0000 2.6449 0.0000
2.6449 0.0000 0.0000
```

Calculated values
total magnetic moment	1.41	μB per formula unit
formation energy from raw total energies	0.87	eV per atom

No. 3
Below is crystalline CaAsRhSe2 at its relaxed geometry, with properties calculated at the GGA-PBE level.

Geometry as POSCAR:
```
CaAsRhSe2
1.0
5.2065 0.0000 0.0000
0.0000 5.2065 0.0000
0.0000 0.0000 4.5137
Ca As Rh Se
1 1 1 2
Cartesian
0.0000 0.0000 0.0000
2.6033 2.6033 0.0000
2.6033 2.6033 2.2569
0.0000 2.6033 2.2569
2.6033 0.0000 2.2569
```

Calculated values
total magnetic moment	0.00	μB per formula unit
formation energy from raw total energies	-0.45	eV per atom

No. 4
Below is crystalline Ca3SiAs2Rh9 at its relaxed geometry, with properties calculated at the GGA-PBE level.

Geometry as POSCAR:
```
Ca3SiAs2Rh9
1.0
6.4883 0.0000 0.0000
-3.2442 5.6190 0.0000
0.0000 0.0000 7.8419
Ca Si As Rh
3 1 2 9
Cartesian
0.0000 0.0000 0.0000
0.0000 3.7460 5.1896
3.2442 1.8730 2.6523
0.0000 0.0000 3.9209
0.0000 3.7460 1.3857
3.2442 1.8730 6.4561
-1.6221 2.8095 0.0000
0.0000 1.7478 2.5264
-1.7305 4.7452 2.5264
1.5136 0.8739 5.3155
3.2442 0.0000 0.0000
1.6221 2.8095 0.0000
1.7305 4.7452 2.5264
4.9747 0.8739 5.3155
3.2441 3.8713 5.3155
```

Calculated values
total magnetic moment	0.00	μB per formula unit
formation energy from raw total energies	-0.31	eV per atom

No. 5
Below is crystalline CaSmAs2Rh5 at its relaxed geometry, with properties calculated at the GGA-PBE level.

Geometry as POSCAR:
```
CaSmAs2Rh5
1.0
4.2729 0.0000 0.0000
0.0000 4.2729 0.0000
0.0000 0.0000 8.7277
Ca Sm As Rh
1 1 2 5
Cartesian
0.0000 0.0000 0.0000
0.0000 0.0000 4.3638
2.1365 2.1365 3.0448
2.1365 2.1365 5.6828
0.0000 2.1365 1.9929
0.0000 2.1365 6.7347
2.1365 0.0000 1.9929
2.1365 0.0000 6.7347
2.1365 2.1365 0.0000
```

Calculated values
total magnetic moment	0.00	μB per formula unit
formation energy	-14.12	kcal/mol of atoms

No. 6
Below is crystalline Sr2CaAs3Rh4 at its relaxed geometry, with properties calculated at the GGA-PBE level.

Geometry as POSCAR:
```
Sr2CaAs3Rh4
1.0
4.2314 0.0000 0.0000
0.0000 4.2314 0.0000
0.0000 0.0000 11.1884
Sr Ca As Rh
2 1 3 4
Cartesian
0.0000 2.1157 2.6801
2.1157 0.0000 8.5083
0.0000 0.0000 5.5942
0.0000 2.1157 9.7943
2.1157 0.0000 1.3941
2.1157 2.1157 5.5942
0.0000 0.0000 0.0000
0.0000 2.1157 7.3636
2.1157 0.0000 3.8248
2.1157 2.1157 0.0000
```

Calculated values
total magnetic moment	0.00	μB per formula unit
formation energy	-17.18	kcal/mol of atoms

Which formula does entry 3 have? CaAsRhSe2